# 1
# PBE ThScCo, relaxed
# DFT formation energy = 729.6 meV per atom
data_ThScCo
_chemical_formula_sum 'Th4 Sc4 Co4'
_space_group_name_H-M_alt 'F -4 3 m'
_space_group_IT_number 216
_space_group_name_Hall 'F -4 2 3'
_cell_length_a 6.432
_cell_length_b 6.432
_cell_length_c 6.432
_cell_angle_alpha 90.00
_cell_angle_beta 90.00
_cell_angle_gamma 90.00
loop_
_atom_site_label
_atom_site_fract_x
_atom_site_fract_y
_atom_site_fract_z
Th1 0.000 0.000 0.000
Sc1 0.250 0.250 0.750
Co1 0.250 0.250 0.250


# 2
# PBE Sc3TlCo2, relaxed
# raw total energy = -6.256 eV per atom
data_Sc3TlCo2
_chemical_formula_sum 'Sc3 Tl1 Co2'
_space_group_name_H-M_alt 'P 4/m m m'
_space_group_IT_number 123
_space_group_name_Hall '-P 4 2'
_cell_length_a 3.122
_cell_length_b 3.122
_cell_length_c 10.969
_cell_angle_alpha 90.00
_cell_angle_beta 90.00
_cell_angle_gamma 90.00
loop_
_atom_site_label
_atom_site_fract_x
_atom_site_fract_y
_atom_site_fract_z
Sc1 0.000 0.000 0.000
Sc2 0.000 0.000 0.282
Tl1 0.500 0.500 0.500
Co1 0.500 0.500 0.146


# 3
# PBE ScTl2Co2, relaxed
# raw total energy = -4.614 eV per atom
data_ScTl2Co2
_chemical_formula_sum 'Sc1 Tl2 Co2'
_space_group_name_H-M_alt 'P -3 m 1'
_space_group_IT_number 164
_space_group_name_Hall '-P 3 2"'
_cell_length_a 3.8302
_cell_length_b 3.8302
_cell_length_c 7.8286
_cell_angle_alpha 90.00
_cell_angle_beta 90.00
_cell_angle_gamma 120.00
loop_
_atom_site_label
_atom_site_fract_x
_atom_site_fract_y
_atom_site_fract_z
Sc1 0.0000 0.0000 0.0000
Tl1 0.3333 0.6667 0.2373
Co1 0.3333 0.6667 0.5626


# 4
# PBE ScTl2Co, relaxed
# raw total energy = -4.238 eV per atom
data_ScTl2Co
_chemical_formula_sum 'Sc4 Tl8 Co4'
_space_group_name_H-M_alt 'F -4 3 m'
_space_group_IT_number 216
_space_group_name_Hall 'F -4 2 3'
_cell_length_a 6.899
_cell_length_b 6.899
_cell_length_c 6.899
_cell_angle_alpha 90.00
_cell_angle_beta 90.00
_cell_angle_gamma 90.00
loop_
_atom_site_label
_atom_site_fract_x
_atom_site_fract_y
_atom_site_fract_z
Sc1 0.000 0.000 0.000
Tl1 0.000 0.000 0.500
Tl2 0.250 0.250 0.750
Co1 0.250 0.250 0.250


# 5
# PBE YScTlCo, relaxed
# raw total energy = -5.581 eV per atom
data_YScTlCo
_chemical_formula_sum 'Y4 Sc4 Tl4 Co4'
_space_group_name_H-M_alt 'F -4 3 m'
_space_group_IT_number 216
_space_group_name_Hall 'F -4 2 3'
_cell_length_a 6.799
_cell_length_b 6.799
_cell_length_c 6.799
_cell_angle_alpha 90.00
_cell_angle_beta 90.00
_cell_angle_gamma 90.00
loop_
_atom_site_label
_atom_site_fract_x
_atom_site_fract_y
_atom_site_fract_z
Y1 0.000 0.000 0.000
Sc1 0.250 0.250 0.250
Tl1 0.000 0.000 0.500
Co1 0.250 0.250 0.750


# 6
# PBE Sc2Co2W3, relaxed
# DFT formation energy = 34.5 meV per atom
data_Sc2Co2W3
_chemical_formula_sum 'Sc6 Co6 W9'
_space_group_name_H-M_alt 'R 3 m'
_space_group_IT_number 160
_space_group_name_Hall 'R 3 -2"'
_cell_length_a 4.4031
_cell_length_b 4.4031
_cell_length_c 19.7249
_cell_angle_alpha 90.00
_cell_angle_beta 90.00
_cell_angle_gamma 120.00
loop_
_atom_site_label
_atom_site_fract_x
_atom_site_fract_y
_atom_site_fract_z
Sc1 0.0000 0.0000 0.0000
Sc2 0.0000 0.0000 0.4225
Co1 0.0000 0.0000 0.2768
Co2 0.0000 0.0000 0.7153
W1 0.0000 0.0000 0.1502
W2 0.0000 0.0000 0.5746
W3 0.0000 0.0000 0.8558


# 7
# PBE Sc3Co2W, relaxed
# DFT formation energy = 542.3 meV per atom
data_Sc3Co2W
_chemical_formula_sum 'Sc3 Co2 W1'
_space_group_name_H-M_alt 'P 6/m m m'
_space_group_IT_number 191
_space_group_name_Hall '-P 6 2'
_cell_length_a 5.5058
_cell_length_b 5.5058
_cell_length_c 3.8444
_cell_angle_alpha 90.00
_cell_angle_beta 90.00
_cell_angle_gamma 120.00
loop_
_atom_site_label
_atom_site_fract_x
_atom_site_fract_y
_atom_site_fract_z
Sc1 0.0000 0.5000 0.0000
Co1 0.3333 0.6667 0.5000
W1 0.0000 0.0000 0.5000


# 8
# PBE Y6ScCo2, relaxed
# DFT formation energy = 158.3 meV per atom
data_Y6ScCo2
_chemical_formula_sum 'Y6 Sc1 Co2'
_space_group_name_H-M_alt 'P -6 2 m'
_space_group_IT_number 189
_space_group_name_Hall 'P -6 -2'
_cell_length_a 8.1929
_cell_length_b 8.1929
_cell_length_c 3.8902
_cell_angle_alpha 90.00
_cell_angle_beta 90.00
_cell_angle_gamma 120.00
loop_
_atom_site_label
_atom_site_fract_x
_atom_site_fract_y
_atom_site_fract_z
Y1 0.0000 0.2988 0.0000
Y2 0.0000 0.6078 0.5000
Sc1 0.0000 0.0000 0.5000
Co1 0.3333 0.6667 0.0000


# 9
# PBE YSc2Co2, relaxed
# DFT formation energy = 44.1 meV per atom
data_YSc2Co2
_chemical_formula_sum 'Y2 Sc4 Co4'
_space_group_name_H-M_alt 'I 4/m m m'
_space_group_IT_number 139
_space_group_name_Hall '-I 4 2'
_cell_length_a 4.551
_cell_length_b 4.551
_cell_length_c 9.637
_cell_angle_alpha 90.00
_cell_angle_beta 90.00
_cell_angle_gamma 90.00
loop_
_atom_site_label
_atom_site_fract_x
_atom_site_fract_y
_atom_site_fract_z
Y1 0.000 0.000 0.000
Sc1 0.000 0.000 0.341
Co1 0.000 0.500 0.250


# 10
# PBE YSc2Co2, relaxed
# DFT formation energy = -95.3 meV per atom
data_YSc2Co2
_chemical_formula_sum 'Y4 Sc8 Co8'
_space_group_name_H-M_alt 'I 4/m m m'
_space_group_IT_number 139
_space_group_name_Hall '-I 4 2'
_cell_length_a 4.405
_cell_length_b 4.405
_cell_length_c 19.965
_cell_angle_alpha 90.00
_cell_angle_beta 90.00
_cell_angle_gamma 90.00
loop_
_atom_site_label
_atom_site_fract_x
_atom_site_fract_y
_atom_site_fract_z
Y1 0.000 0.000 0.138
Sc1 0.000 0.000 0.309
Sc2 0.000 0.500 0.000
Co1 0.000 0.000 0.433
Co2 0.000 0.500 0.250


# 11
# PBE YScZnCo, relaxed
# DFT formation energy = -3.0 meV per atom
data_YScZnCo
_chemical_formula_sum 'Y4 Sc4 Zn4 Co4'
_space_group_name_H-M_alt 'F -4 3 m'
_space_group_IT_number 216
_space_group_name_Hall 'F -4 2 3'
_cell_length_a 6.563
_cell_length_b 6.563
_cell_length_c 6.563
_cell_angle_alpha 90.00
_cell_angle_beta 90.00
_cell_angle_gamma 90.00
loop_
_atom_site_label
_atom_site_fract_x
_atom_site_fract_y
_atom_site_fract_z
Y1 0.000 0.000 0.000
Sc1 0.250 0.250 0.250
Zn1 0.000 0.000 0.500
Co1 0.250 0.250 0.750


# 12
# PBE ScZn6Co, relaxed
# DFT formation energy = -70.8 meV per atom
data_ScZn6Co
_chemical_formula_sum 'Sc1 Zn6 Co1'
_space_group_name_H-M_alt 'P -6 m 2'
_space_group_IT_number 187
_space_group_name_Hall 'P -6 2'
_cell_length_a 5.5916
_cell_length_b 5.5916
_cell_length_c 4.3404
_cell_angle_alpha 90.00
_cell_angle_beta 90.00
_cell_angle_gamma 120.00
loop_
_atom_site_label
_atom_site_fract_x
_atom_site_fract_y
_atom_site_fract_z
Sc1 0.0000 0.0000 0.0000
Zn1 0.1720 0.3440 0.5000
Zn2 0.5018 0.0037 0.0000
Co1 0.6667 0.3333 0.5000


# 13
# PBE Sc3ZnCo8, relaxed
# DFT formation energy = -278.4 meV per atom
data_Sc3ZnCo8
_chemical_formula_sum 'Sc9 Zn3 Co24'
_space_group_name_H-M_alt 'R 3 m'
_space_group_IT_number 160
_space_group_name_Hall 'R 3 -2"'
_cell_length_a 4.8205
_cell_length_b 4.8205
_cell_length_c 23.6508
_cell_angle_alpha 90.00
_cell_angle_beta 90.00
_cell_angle_gamma 120.00
loop_
_atom_site_label
_atom_site_fract_x
_atom_site_fract_y
_atom_site_fract_z
Sc1 0.0000 0.0000 0.0000
Sc2 0.0000 0.0000 0.1280
Sc3 0.0000 0.0000 0.6194
Zn1 0.0000 0.0000 0.4978
Co1 0.0000 0.0000 0.3120
Co2 0.0000 0.0000 0.8121
Co3 0.9998 0.4999 0.5613
Co4 0.0015 0.5008 0.0626


# 14
# PBE Sc5ZnCo4, relaxed
# DFT formation energy = -369.5 meV per atom
data_Sc5ZnCo4
_chemical_formula_sum 'Sc5 Zn1 Co4'
_space_group_name_H-M_alt 'P 4/m m m'
_space_group_IT_number 123
_space_group_name_Hall '-P 4 2'
_cell_length_a 3.127
_cell_length_b 3.127
_cell_length_c 16.177
_cell_angle_alpha 90.00
_cell_angle_beta 90.00
_cell_angle_gamma 90.00
loop_
_atom_site_label
_atom_site_fract_x
_atom_site_fract_y
_atom_site_fract_z
Sc1 0.000 0.000 0.000
Sc2 0.000 0.000 0.192
Sc3 0.000 0.000 0.383
Zn1 0.500 0.500 0.500
Co1 0.500 0.500 0.096
Co2 0.500 0.500 0.291


# 15
# PBE ZrScZnCo, relaxed
# DFT formation energy = -151.2 meV per atom
data_ZrScZnCo
_chemical_formula_sum 'Zr4 Sc4 Zn4 Co4'
_space_group_name_H-M_alt 'F -4 3 m'
_space_group_IT_number 216
_space_group_name_Hall 'F -4 2 3'
_cell_length_a 6.371
_cell_length_b 6.371
_cell_length_c 6.371
_cell_angle_alpha 90.00
_cell_angle_beta 90.00
_cell_angle_gamma 90.00
loop_
_atom_site_label
_atom_site_fract_x
_atom_site_fract_y
_atom_site_fract_z
Zr1 0.000 0.000 0.000
Sc1 0.250 0.250 0.250
Zn1 0.000 0.000 0.500
Co1 0.250 0.250 0.750


# 16
# PBE Co3Se, relaxed
# raw total energy = -5.935 eV per atom
data_Co3Se
_chemical_formula_sum 'Co6 Se2'
_space_group_name_H-M_alt 'P 63/m m c'
_space_group_IT_number 194
_space_group_name_Hall '-P 6c 2c'
_cell_length_a 5.1943
_cell_length_b 5.1943
_cell_length_c 4.0626
_cell_angle_alpha 90.00
_cell_angle_beta 90.00
_cell_angle_gamma 120.00
loop_
_atom_site_label
_atom_site_fract_x
_atom_site_fract_y
_atom_site_fract_z
Co1 0.1637 0.3274 0.2500
Se1 0.3333 0.6667 0.7500


# 17
# PBE CoSe, relaxed
# raw total energy = -5.235 eV per atom
data_CoSe
_chemical_formula_sum 'Co12 Se12'
_space_group_name_H-M_alt 'C m c m'
_space_group_IT_number 63
_space_group_name_Hall '-C 2c 2'
_cell_length_a 3.830
_cell_length_b 6.473
_cell_length_c 17.524
_cell_angle_alpha 90.00
_cell_angle_beta 90.00
_cell_angle_gamma 90.00
loop_
_atom_site_label
_atom_site_fract_x
_atom_site_fract_y
_atom_site_fract_z
Co1 0.000 0.110 0.250
Co2 0.000 0.151 0.623
Se1 0.000 0.229 0.750
Se2 0.000 0.489 0.579


# 18
# PBE Co5Se4, relaxed
# raw total energy = -5.467 eV per atom
data_Co5Se4
_chemical_formula_sum 'Co10 Se8'
_space_group_name_H-M_alt 'P 1 21/c 1'
_space_group_IT_number 14
_cell_length_a 6.023
_cell_length_b 4.634
_cell_length_c 10.225
_cell_angle_alpha 90.00
_cell_angle_beta 101.84
_cell_angle_gamma 90.00
loop_
_space_group_symop_operation_xyz
'x,y,z'
'-x,-y,-z'
'-x,y+1/2,-z+1/2'
'x,-y+1/2,z+1/2'
loop_
_atom_site_label
_atom_site_fract_x
_atom_site_fract_y
_atom_site_fract_z
Co1 0.000 0.000 0.000
Co2 0.229 0.151 0.684
Co3 0.301 0.707 0.008
Se1 0.089 0.132 0.365
Se2 0.489 0.562 0.355


# 19
# PBE CoSe, relaxed
# raw total energy = -5.435 eV per atom
data_CoSe
_chemical_formula_sum 'Co2 Se2'
_space_group_name_H-M_alt 'P 63/m m c'
_space_group_IT_number 194
_space_group_name_Hall '-P 6c 2c'
_cell_length_a 3.5949
_cell_length_b 3.5949
_cell_length_c 5.2238
_cell_angle_alpha 90.00
_cell_angle_beta 90.00
_cell_angle_gamma 120.00
loop_
_atom_site_label
_atom_site_fract_x
_atom_site_fract_y
_atom_site_fract_z
Co1 0.0000 0.0000 0.0000
Se1 0.3333 0.6667 0.2500


# 20
# PBE CoSe3, relaxed
# raw total energy = -3.948 eV per atom
data_CoSe3
_chemical_formula_sum 'Co2 Se6'
_space_group_name_H-M_alt 'I 4/m m m'
_space_group_IT_number 139
_space_group_name_Hall '-I 4 2'
_cell_length_a 3.589
_cell_length_b 3.589
_cell_length_c 14.686
_cell_angle_alpha 90.00
_cell_angle_beta 90.00
_cell_angle_gamma 90.00
loop_
_atom_site_label
_atom_site_fract_x
_atom_site_fract_y
_atom_site_fract_z
Co1 0.000 0.000 0.000
Se1 0.000 0.000 0.500
Se2 0.000 0.500 0.250